A relaxed Cr3Ni crystal, computed with PBE-GGA.

Computed properties:
SG = Pmmn, No. 59
M_tot = 0.00 μB/f.u.
N(E_F) = 1.19 states/eV per atom
Calculated formation energy = 17.2 kJ per mole of atoms

Geometry as CIF:
```
data_Cr3Ni
_chemical_formula_sum 'Cr6 Ni2'
_space_group_name_H-M_alt 'P 1'
_space_group_IT_number 1
_cell_length_a 4.040
_cell_length_b 4.530
_cell_length_c 5.020
_cell_angle_alpha 90.00
_cell_angle_beta 90.00
_cell_angle_gamma 90.00
loop_
_space_group_symop_operation_xyz
'x,y,z'
loop_
_atom_site_label
_atom_site_fract_x
_atom_site_fract_y
_atom_site_fract_z
_atom_site_occupancy
Ni1 0.500 0.666 0.500 1
Ni2 0.000 0.334 0.000 1
Cr1 0.500 0.651 0.000 1
Cr2 0.000 0.847 0.237 1
Cr3 0.500 0.153 0.737 1
Cr4 0.000 0.349 0.500 1
Cr5 0.500 0.153 0.263 1
Cr6 0.000 0.847 0.763 1
```